Density functional theory data (GGA-PBE) for K3Ho2TmS6 after structural relaxation.

Calculated values
* ΔE_f (raw): -1.890 eV/atom
* V: 25.79 A^3/atom

a = 6.966 Å, b = 6.966 Å, c = 7.720 Å
α = 98.65°, β = 98.65°, γ = 120.00°
Fractional positions:
K 0.000 0.000 0.000
K 0.333 0.667 0.000
K 0.667 0.333 0.000
Ho 0.167 0.833 0.500
Ho 0.833 0.167 0.500
Tm 0.500 0.500 0.500
S 0.102 0.433 0.300
S 0.236 0.236 0.700
S 0.433 0.102 0.300
S 0.567 0.898 0.700
S 0.764 0.764 0.300
S 0.898 0.567 0.700

Density functional theory data (GGA-PBE) for Mg2TiCoSb after structural relaxation.

Calculated values
* ΔE_f (raw): 0.825 eV/atom
* V: 23.48 A^3/atom

a = 5.344 Å, b = 5.344 Å, c = 4.111 Å
α = 90.00°, β = 90.00°, γ = 90.00°
Fractional positions:
Mg 0.000 0.500 0.000
Mg 0.500 0.000 0.000
Ti 0.000 0.000 0.000
Co 0.000 0.000 0.500
Sb 0.500 0.500 0.500

Density functional theory data (GGA-PBE) for CeInI4 after structural relaxation.

Calculated values
* ΔE_f (raw): -1.045 eV/atom
* V: 50.54 A^3/atom

a = 7.901 Å, b = 7.901 Å, c = 8.725 Å
α = 101.50°, β = 101.50°, γ = 34.70°
Fractional positions:
Ce 0.000 0.000 0.000
In 0.500 0.500 0.500
I 0.120 0.120 0.334
I 0.381 0.381 0.105
I 0.619 0.619 0.895
I 0.880 0.880 0.666

Density functional theory data (GGA-PBE) for FeNiMo after structural relaxation.

Calculated values
* energy relative to the elements: 596 meV/atom
* V: 14.77 A^3/atom
* relative energy among the computed polymorphs: 568 meV per atom

a = 3.972 Å, b = 3.972 Å, c = 3.972 Å
α = 60.00°, β = 60.00°, γ = 60.00°
Fractional positions:
Fe 0.000 0.000 0.000
Ni 0.250 0.250 0.250
Mo 0.500 0.500 0.500

Density functional theory data (GGA-PBE) for CaNiAs4 after structural relaxation.

Calculated values
* energy relative to the elements: 119 meV/atom
* V: 20.22 A^3/atom

a = 5.557 Å, b = 5.557 Å, c = 5.557 Å
α = 60.00°, β = 60.00°, γ = 60.00°
Fractional positions:
Ca 0.000 0.000 0.000
Ni 0.750 0.750 0.750
As 0.377 0.377 0.377
As 0.377 0.377 0.870
As 0.377 0.870 0.377
As 0.870 0.377 0.377

Density functional theory data (GGA-PBE) for Ba4Pd2Br after structural relaxation.

Calculated values
* ΔE_f (raw): -0.587 eV/atom
* V: 44.86 A^3/atom
* relative energy among the computed polymorphs: 247 meV per atom

a = 9.007 Å, b = 9.007 Å, c = 9.007 Å
α = 138.78°, β = 138.78°, γ = 59.71°
Fractional positions:
Ba 0.000 0.500 0.500
Ba 0.225 0.225 0.000
Ba 0.500 0.000 0.500
Ba 0.775 0.775 0.000
Pd 0.415 0.415 0.000
Pd 0.585 0.585 0.000
Br 0.000 0.000 0.000

Density functional theory data (GGA-PBE) for HfTh2Zr after structural relaxation.

Calculated values
* energy relative to the elements: 154 meV/atom
* V: 27.60 A^3/atom
* relative energy among the computed polymorphs: 0 meV per atom

a = 4.764 Å, b = 4.764 Å, c = 4.863 Å
α = 90.00°, β = 90.00°, γ = 90.00°
Fractional positions:
Hf 0.000 0.000 0.000
Th 0.000 0.500 0.500
Th 0.500 0.000 0.500
Zr 0.500 0.500 0.000

Density functional theory data (GGA-PBE) for ZnH2Rh2 after structural relaxation.

Calculated values
* V: 9.93 A^3/atom
* relative energy among the computed polymorphs: 83 meV per atom

a = 6.087 Å, b = 5.236 Å, c = 4.912 Å
α = 73.64°, β = 55.62°, γ = 50.74°
Fractional positions:
Zn 0.125 0.125 0.125
Zn 0.875 0.875 0.875
H 0.250 0.250 0.500
H 0.500 0.500 0.250
H 0.500 0.500 0.750
H 0.750 0.750 0.500
Rh 0.187 0.563 0.187
Rh 0.437 0.813 0.437
Rh 0.563 0.187 0.563
Rh 0.813 0.437 0.813

Density functional theory data (GGA-PBE) for TmThZnRh after structural relaxation.

Calculated values
* energy relative to the elements: -519 meV/atom
* V: 22.28 A^3/atom

a = 5.014 Å, b = 5.014 Å, c = 5.014 Å
α = 60.00°, β = 60.00°, γ = 60.00°
Fractional positions:
Tm 0.000 0.000 0.000
Th 0.500 0.500 0.500
Zn 0.250 0.250 0.250
Rh 0.750 0.750 0.750

Density functional theory data (GGA-PBE) for Th2MnAl after structural relaxation.

Calculated values
* energy relative to the elements: 484 meV/atom
* V: 25.23 A^3/atom
* relative energy among the computed polymorphs: 463 meV per atom

a = 10.956 Å, b = 10.956 Å, c = 10.956 Å
α = 17.25°, β = 17.25°, γ = 17.25°
Fractional positions:
Th 0.085 0.085 0.085
Th 0.915 0.915 0.915
Mn 0.000 0.000 0.000
Al 0.500 0.500 0.500

Density functional theory data (GGA-PBE) for NiAuC after structural relaxation.

Calculated values
* energy relative to the elements: 691 meV/atom
* V: 12.70 A^3/atom
* relative energy among the computed polymorphs: 0 meV per atom

a = 2.928 Å, b = 2.928 Å, c = 5.541 Å
α = 106.85°, β = 106.85°, γ = 58.21°
Fractional positions:
Ni 0.000 0.000 0.000
Au 0.524 0.524 0.563
C 0.383 0.383 0.155

Density functional theory data (GGA-PBE) for La15TlCd4 after structural relaxation.

Calculated values
* energy relative to the elements: -153 meV/atom
* V: 32.61 A^3/atom

a = 5.078 Å, b = 5.078 Å, c = 25.289 Å
α = 90.00°, β = 90.00°, γ = 90.00°
Fractional positions:
La 0.000 0.000 0.000
La 0.000 0.000 0.200
La 0.000 0.000 0.400
La 0.000 0.000 0.600
La 0.000 0.000 0.800
La 0.000 0.500 0.100
La 0.000 0.500 0.300
La 0.000 0.500 0.500
La 0.000 0.500 0.700
La 0.000 0.500 0.900
La 0.500 0.000 0.100
La 0.500 0.000 0.300
La 0.500 0.000 0.500
La 0.500 0.000 0.700
La 0.500 0.000 0.900
Tl 0.500 0.500 0.000
Cd 0.500 0.500 0.200
Cd 0.500 0.500 0.400
Cd 0.500 0.500 0.600
Cd 0.500 0.500 0.800

Density functional theory data (GGA-PBE) for U4AsS2 after structural relaxation.

Calculated values
* ΔE_f (raw): -0.813 eV/atom
* V: 21.79 A^3/atom

a = 7.050 Å, b = 7.050 Å, c = 11.991 Å
α = 90.00°, β = 90.00°, γ = 149.21°
Fractional positions:
U 0.000 0.000 0.000
U 0.000 0.000 0.500
U 0.266 0.734 0.648
U 0.266 0.734 0.852
U 0.438 0.562 0.250
U 0.562 0.438 0.750
U 0.734 0.266 0.148
U 0.734 0.266 0.352
As 0.096 0.904 0.250
As 0.904 0.096 0.750
S 0.357 0.643 0.049
S 0.357 0.643 0.451
S 0.643 0.357 0.549
S 0.643 0.357 0.951

Density functional theory data (GGA-PBE) for Na2SrHgBi2 after structural relaxation.

Calculated values
* energy relative to the elements: -490 meV/atom
* V: 32.09 A^3/atom

a = 4.886 Å, b = 9.460 Å, c = 8.330 Å
α = 90.00°, β = 90.00°, γ = 90.00°
Fractional positions:
Na 0.000 0.073 0.000
Na 0.000 0.927 0.500
Na 0.500 0.171 0.324
Na 0.500 0.829 0.824
Sr 0.500 0.445 0.943
Sr 0.500 0.555 0.443
Hg 0.000 0.314 0.604
Hg 0.000 0.686 0.104
Bi 0.000 0.371 0.226
Bi 0.000 0.629 0.726
Bi 0.500 0.150 0.709
Bi 0.500 0.850 0.209

Density functional theory data (GGA-PBE) for RbCe2Br6 after structural relaxation.

Calculated values
* ΔE_f (raw): -1.762 eV/atom
* V: 42.32 A^3/atom

a = 10.575 Å, b = 10.575 Å, c = 7.763 Å
α = 109.30°, β = 109.30°, γ = 74.80°
Fractional positions:
Rb 0.198 0.802 0.750
Rb 0.802 0.198 0.250
Ce 0.178 0.334 0.053
Ce 0.334 0.178 0.553
Ce 0.666 0.822 0.447
Ce 0.822 0.666 0.947
Br 0.084 0.174 0.649
Br 0.119 0.599 0.961
Br 0.174 0.084 0.149
Br 0.272 0.449 0.472
Br 0.401 0.881 0.539
Br 0.449 0.272 0.972
Br 0.551 0.728 0.028
Br 0.599 0.119 0.461
Br 0.728 0.551 0.528
Br 0.826 0.916 0.851
Br 0.881 0.401 0.039
Br 0.916 0.826 0.351

Density functional theory data (GGA-PBE) for KTcPd after structural relaxation.

Calculated values
* energy relative to the elements: 339 meV/atom
* V: 26.58 A^3/atom
* relative energy among the computed polymorphs: 95 meV per atom

a = 3.187 Å, b = 3.985 Å, c = 12.718 Å
α = 81.17°, β = 87.98°, γ = 90.00°
Fractional positions:
K 0.207 0.336 0.331
K 0.793 0.664 0.669
Tc 0.241 0.467 0.066
Tc 0.759 0.533 0.934
Pd 0.270 0.068 0.863
Pd 0.730 0.932 0.137

Density functional theory data (GGA-PBE) for MgTaTl4 after structural relaxation.

Calculated values
* energy relative to the elements: 861 meV/atom
* V: 26.84 A^3/atom

a = 6.107 Å, b = 6.107 Å, c = 6.107 Å
α = 60.00°, β = 60.00°, γ = 60.00°
Fractional positions:
Mg 0.000 0.000 0.000
Ta 0.750 0.750 0.750
Tl 0.375 0.375 0.375
Tl 0.375 0.375 0.874
Tl 0.375 0.874 0.375
Tl 0.874 0.375 0.375

Density functional theory data (GGA-PBE) for PaSbH after structural relaxation.

Calculated values
* V: 18.15 A^3/atom
* relative energy among the computed polymorphs: 349 meV per atom

a = 4.105 Å, b = 5.293 Å, c = 5.014 Å
α = 90.00°, β = 90.00°, γ = 90.00°
Fractional positions:
Pa 0.250 0.250 0.000
Pa 0.750 0.750 0.000
Sb 0.250 0.750 0.499
Sb 0.750 0.250 0.501
H 0.250 0.750 0.999
H 0.750 0.250 0.001

Density functional theory data (GGA-PBE) for CsLiZn2Si after structural relaxation.

Calculated values
* ΔE_f (raw): 0.428 eV/atom
* V: 26.82 A^3/atom

a = 5.243 Å, b = 5.243 Å, c = 4.880 Å
α = 90.00°, β = 90.00°, γ = 90.00°
Fractional positions:
Cs 0.000 0.000 0.000
Li 0.500 0.500 0.500
Zn 0.000 0.500 0.500
Zn 0.500 0.000 0.500
Si 0.500 0.500 0.000

Density functional theory data (GGA-PBE) for Al2CdCu after structural relaxation.

Calculated values
* energy relative to the elements: 36 meV/atom
* V: 17.01 A^3/atom

a = 4.638 Å, b = 4.638 Å, c = 5.531 Å
α = 103.17°, β = 103.17°, γ = 36.09°
Fractional positions:
Al 0.237 0.237 0.214
Al 0.763 0.763 0.786
Cd 0.000 0.000 0.500
Cu 0.500 0.500 0.000